(1)
# La4SCl5 | the Alexandria database | PBE | optimized geometry
data_La4SCl5
_chemical_formula_sum 'La8 S2 Cl10'
_cell_length_a 6.898
_cell_length_b 9.028
_cell_length_c 9.516
_cell_angle_alpha 90.00
_cell_angle_beta 90.00
_cell_angle_gamma 90.00
_space_group_name_H-M_alt 'P 1'
_space_group_IT_number 1
loop_
_space_group_symop_operation_xyz
'x,y,z'
loop_
_atom_site_label
_atom_site_type_symbol
_atom_site_fract_x
_atom_site_fract_y
_atom_site_fract_z
La1 La 0.878 0.000 0.746
La2 La 0.532 0.697 0.000
La3 La 0.532 0.303 0.000
La4 La 0.878 0.000 0.254
La5 La 0.122 0.500 0.246
La6 La 0.468 0.803 0.500
La7 La 0.468 0.197 0.500
La8 La 0.122 0.500 0.754
S1 S 0.676 0.000 0.000
S2 S 0.324 0.500 0.500
Cl1 Cl 0.246 0.801 0.795
Cl2 Cl 0.246 0.199 0.795
Cl3 Cl 0.870 0.500 0.000
Cl4 Cl 0.246 0.801 0.205
Cl5 Cl 0.246 0.199 0.205
Cl6 Cl 0.754 0.699 0.295
Cl7 Cl 0.754 0.301 0.295
Cl8 Cl 0.130 0.000 0.500
Cl9 Cl 0.754 0.301 0.705
Cl10 Cl 0.754 0.699 0.705
# Symmetry: Pmmn (59)
# Energy relative to the lowest polymorph listed for this composition: 0.195 eV per atom
# DOS(E_F): 8.59 states/eV/cell
# Total DFT energy (no corrections): -5.17 eV per atom
# Raw formation energy: -18.653 eV/f.u.
# ρ: 4.29 g cm⁻³



(2)
# Ac5Nd2Pb4 | the Alexandria database | PBE | optimized geometry
data_Ac5Nd2Pb4
_chemical_formula_sum 'Ac5 Nd2 Pb4'
_cell_length_a 3.827
_cell_length_b 8.845
_cell_length_c 14.666
_cell_angle_alpha 121.34
_cell_angle_beta 97.50
_cell_angle_gamma 90.00
_space_group_name_H-M_alt 'P 1'
_space_group_IT_number 1
loop_
_space_group_symop_operation_xyz
'x,y,z'
loop_
_atom_site_label
_atom_site_type_symbol
_atom_site_fract_x
_atom_site_fract_y
_atom_site_fract_z
Ac1 Ac 0.176 0.873 0.352
Ac2 Ac 0.824 0.127 0.648
Ac3 Ac 0.129 0.220 0.258
Ac4 Ac 0.500 0.000 0.000
Ac5 Ac 0.871 0.780 0.742
Nd1 Nd 0.727 0.626 0.454
Nd2 Nd 0.273 0.374 0.546
Pb1 Pb 0.586 0.476 0.173
Pb2 Pb 0.035 0.716 0.069
Pb3 Pb 0.414 0.524 0.827
Pb4 Pb 0.965 0.284 0.931
# Symmetry: C2/m (12)
# DOS(E_F): 12.86 states/eV/cell
# Total DFT energy (no corrections): -4.12 eV per atom
# ρ: 8.93 g cm⁻³



(3)
# RbSiMo | the Alexandria database | PBE | optimized geometry
data_RbSiMo
_chemical_formula_sum 'Rb2 Si2 Mo2'
_cell_length_a 3.165
_cell_length_b 4.173
_cell_length_c 12.863
_cell_angle_alpha 90.00
_cell_angle_beta 97.02
_cell_angle_gamma 90.00
_space_group_name_H-M_alt 'P 1'
_space_group_IT_number 1
loop_
_space_group_symop_operation_xyz
'x,y,z'
loop_
_atom_site_label
_atom_site_type_symbol
_atom_site_fract_x
_atom_site_fract_y
_atom_site_fract_z
Mo1 Mo 0.529 0.250 0.059
Mo2 Mo 0.471 0.750 0.941
Si1 Si 0.947 0.250 0.893
Si2 Si 0.053 0.750 0.107
Rb1 Rb 0.659 0.250 0.327
Rb2 Rb 0.341 0.750 0.673
# Symmetry: P2_1/m (11)
# Energy relative to the lowest polymorph listed for this composition: 0.092 eV per atom
# DOS(E_F): 2.61 states/eV/cell
# Total DFT energy (no corrections): -5.52 eV per atom
# Raw formation energy: 0.667 eV/f.u.
# ρ: 4.13 g cm⁻³



(4)
# K2Rb2Ca | the Alexandria database | PBE | optimized geometry
data_K2Rb2Ca
_chemical_formula_sum 'K2 Rb2 Ca1'
_cell_length_a 5.935
_cell_length_b 5.935
_cell_length_c 11.502
_cell_angle_alpha 75.05
_cell_angle_beta 75.05
_cell_angle_gamma 90.00
_space_group_name_H-M_alt 'P 1'
_space_group_IT_number 1
loop_
_space_group_symop_operation_xyz
'x,y,z'
loop_
_atom_site_label
_atom_site_type_symbol
_atom_site_fract_x
_atom_site_fract_y
_atom_site_fract_z
Ca1 Ca 0.000 0.000 0.000
K1 K 0.411 0.411 0.177
K2 K 0.589 0.589 0.823
Rb1 Rb 0.750 0.250 0.500
Rb2 Rb 0.250 0.750 0.500
# Symmetry: I4/mmm (139)
# Energy relative to the lowest polymorph listed for this composition: 0.067 eV per atom
# DOS(E_F): 4.71 states/eV/cell
# Total DFT energy (no corrections): -0.96 eV per atom
# ρ: 1.27 g cm⁻³



(5)
# Pr3ScAu2 | the Alexandria database | PBE | optimized geometry
data_Pr3ScAu2
_chemical_formula_sum 'Pr3 Sc1 Au2'
_cell_length_a 3.990
_cell_length_b 5.217
_cell_length_c 8.662
_cell_angle_alpha 107.35
_cell_angle_beta 103.51
_cell_angle_gamma 89.97
_space_group_name_H-M_alt 'P 1'
_space_group_IT_number 1
loop_
_space_group_symop_operation_xyz
'x,y,z'
loop_
_atom_site_label
_atom_site_type_symbol
_atom_site_fract_x
_atom_site_fract_y
_atom_site_fract_z
Pr1 Pr 0.500 0.500 0.000
Pr2 Pr 0.816 0.315 0.631
Pr3 Pr 0.184 0.685 0.369
Sc1 Sc 0.000 0.000 0.000
Au1 Au 0.370 0.873 0.744
Au2 Au 0.630 0.127 0.256
# Symmetry: P-1 (2)
# DOS(E_F): 6.49 states/eV/cell
# Total DFT energy (no corrections): -5.01 eV per atom
# ρ: 8.57 g cm⁻³



(6)
# RbTa3Ge | the Alexandria database | PBE | optimized geometry
data_RbTa3Ge
_chemical_formula_sum 'Rb1 Ta3 Ge1'
_cell_length_a 4.817
_cell_length_b 4.817
_cell_length_c 4.817
_cell_angle_alpha 90.00
_cell_angle_beta 90.00
_cell_angle_gamma 90.00
_space_group_name_H-M_alt 'P 1'
_space_group_IT_number 1
loop_
_space_group_symop_operation_xyz
'x,y,z'
loop_
_atom_site_label
_atom_site_type_symbol
_atom_site_fract_x
_atom_site_fract_y
_atom_site_fract_z
Ge1 Ge 0.500 0.500 0.500
Rb1 Rb 0.000 0.000 0.000
Ta1 Ta 0.000 0.500 0.000
Ta2 Ta 0.000 0.000 0.500
Ta3 Ta 0.500 0.000 0.000
# Symmetry: Pm-3m (221)
# Energy relative to the lowest polymorph listed for this composition: 1.551 eV per atom
# DOS(E_F): 3.08 states/eV/cell
# Total DFT energy (no corrections): -5.05 eV per atom
# ρ: 10.41 g cm⁻³



(7)
# Ac2Al3Ag4Sn | the Alexandria database | PBE | optimized geometry
data_Ac2Al3Ag4Sn
_chemical_formula_sum 'Ac2 Al3 Ag4 Sn1'
_cell_length_a 4.634
_cell_length_b 4.634
_cell_length_c 11.000
_cell_angle_alpha 90.00
_cell_angle_beta 90.00
_cell_angle_gamma 90.00
_space_group_name_H-M_alt 'P 1'
_space_group_IT_number 1
loop_
_space_group_symop_operation_xyz
'x,y,z'
loop_
_atom_site_label
_atom_site_type_symbol
_atom_site_fract_x
_atom_site_fract_y
_atom_site_fract_z
Ac1 Ac 0.500 0.000 0.244
Ac2 Ac 0.000 0.500 0.756
Al1 Al 0.000 0.000 0.500
Al2 Al 0.500 0.000 0.879
Al3 Al 0.000 0.500 0.121
Ag1 Ag 0.500 0.500 0.000
Ag2 Ag 0.000 0.000 0.000
Ag3 Ag 0.500 0.000 0.642
Ag4 Ag 0.000 0.500 0.358
Sn1 Sn 0.500 0.500 0.500
# Symmetry: P-4m2 (115)
# DOS(E_F): 7.30 states/eV/cell
# Total DFT energy (no corrections): -3.83 eV per atom
# ρ: 7.63 g cm⁻³



(8)
# LaSn2Hg2 | the Alexandria database | PBE | optimized geometry
data_LaSn2Hg2
_chemical_formula_sum 'La2 Sn4 Hg4'
_cell_length_a 4.720
_cell_length_b 4.621
_cell_length_c 12.515
_cell_angle_alpha 90.00
_cell_angle_beta 100.87
_cell_angle_gamma 90.00
_space_group_name_H-M_alt 'P 1'
_space_group_IT_number 1
loop_
_space_group_symop_operation_xyz
'x,y,z'
loop_
_atom_site_label
_atom_site_type_symbol
_atom_site_fract_x
_atom_site_fract_y
_atom_site_fract_z
La1 La 0.355 0.250 0.709
La2 La 0.645 0.750 0.291
Sn1 Sn 0.750 0.250 0.501
Sn2 Sn 0.250 0.750 0.499
Sn3 Sn 0.858 0.750 0.717
Sn4 Sn 0.142 0.250 0.283
Hg1 Hg 0.047 0.750 0.095
Hg2 Hg 0.456 0.750 0.912
Hg3 Hg 0.953 0.250 0.905
Hg4 Hg 0.544 0.250 0.088
# Symmetry: Cmcm (63)
# Energy relative to the lowest polymorph listed for this composition: 0.000 eV per atom
# DOS(E_F): 5.63 states/eV/cell
# Total DFT energy (no corrections): -3.09 eV per atom
# ρ: 9.63 g cm⁻³



Q: Which formula does entry 4 have?
A: K2Rb2Ca